Compound: K3Ce2ScS6
Source: the Alexandria database
Functional: PBE
Structure: relaxed

Output
**Size of the total moment**: 2.0 μB/f.u.
**DOS(E_F)**: 26.5 states/eV per cell
**Uncorrected formation energy**: -1.760 eV/atom

Unit cell a=7.0895 b=12.2809 c=7.7166 alpha=90.00 beta=107.88 gamma=90.00
Last column: nearest neighbours and their distance in Å.
Space group C2/m (No. 12)
Symmetry-distinct sites (fractional):
K (0.0000, 0.0000, 0.0000) x2  6 S 3.18-3.33
K (0.0000, 0.3323, 0.0000) x4  6 S 3.18-3.31
Ce (0.0000, 0.1666, 0.5000) x4  6 S 2.84-2.85
Sc (0.0000, 0.5000, 0.5000) x2  6 S 2.67-2.68
S (0.2245, 0.3426, 0.7011) x8  1 Sc 2.68, 2 Ce 2.85
S (0.2476, 0.5000, 0.2994) x4  1 Sc 2.67, 2 Ce 2.84

=====

Compound: K2Ce2ScS6
Source: the Alexandria database
Functional: PBE
Structure: relaxed

Output
**Size of the total moment**: 1.0 μB/f.u.
**DOS(E_F)**: 12.4 states/eV per cell
**Uncorrected formation energy**: -1.795 eV/atom

Unit cell a=7.0082 b=12.0302 c=7.8248 alpha=90.00 beta=107.25 gamma=90.00
Last column: nearest neighbours and their distance in Å.
Space group C2/m (No. 12)
Symmetry-distinct sites (fractional):
K (0.0000, 0.1679, 0.0000) x4  6 S 3.23-3.32
Ce (0.0000, 0.3341, 0.5000) x4  6 S 2.77-2.79
Sc (0.0000, 0.0000, 0.5000) x2  6 S 2.61-2.65
S (0.2228, 0.1603, 0.6930) x8  1 Sc 2.65, 2 Ce 2.77-2.79
S (0.2482, 0.0000, 0.3079) x4  1 Sc 2.61, 2 Ce 2.79

=====

Compound: K3CeSc2S6
Source: the Alexandria database
Functional: PBE
Structure: relaxed

Output
**Size of the total moment**: 1.0 μB/f.u.
**DOS(E_F)**: 11.7 states/eV per cell
**Uncorrected formation energy**: -1.750 eV/atom

Unit cell a=6.8730 b=11.9067 c=7.6801 alpha=90.00 beta=107.42 gamma=90.00
Last column: nearest neighbours and their distance in Å.
Space group C2/m (No. 12)
Symmetry-distinct sites (fractional):
K (0.0000, 0.0000, 0.0000) x2  6 S 3.11-3.24
K (0.0000, 0.3356, 0.0000) x4  6 S 3.12-3.25
Ce (0.0000, 0.5000, 0.5000) x2  6 S 2.82
Sc (0.0000, 0.1669, 0.5000) x4  6 S 2.65
S (0.2131, 0.0000, 0.6959) x4  2 Sc 2.65, 1 Ce 2.82
S (0.2418, 0.3238, 0.6962) x8  2 Sc 2.65, 1 Ce 2.82

=====

Look up the DOS(E_F) of the first one. 26.5 states/eV per cell